Entry 1:
The following is a PBE calculation of NpFePH after structural relaxation, from Alexandria via LeMat-Bulk.

Summary:
The calculation puts the final energy at -65.18 eV for the cell shown. Its space group is P4/nmm (129). Its density of states at the Fermi level is 13.393 states/eV per cell. The calculation puts the spin magnetization at 3.35 μB/f.u.

Cell and atoms, written as POSCAR:
```
NpFePH
1.0
3.805 0.000 0.000
0.000 3.805 0.000
0.000 0.000 7.017
Np Fe P H
2 2 2 2
direct
0.250 0.250 0.165 Np
0.750 0.750 0.835 Np
0.250 0.750 0.500 Fe
0.750 0.250 0.500 Fe
0.250 0.250 0.669 P
0.750 0.750 0.331 P
0.250 0.750 0.000 H
0.750 0.250 0.000 H
```


Entry 2:
The following is a PBE calculation of NpFeH6Pd after structural relaxation, from Alexandria via LeMat-Bulk.

Summary:
The calculation puts the final energy at -47.33 eV for the cell shown. Its space group is P-6m2 (187). Its density of states at the Fermi level is 12.239 states/eV per cell. The calculation puts the spin magnetization at 5.21 μB/f.u.

Cell and atoms, written as POSCAR:
```
NpFeH6Pd
1.0
4.523 0.000 0.000
-2.261 3.917 0.000
0.000 0.000 4.238
Np Fe H Pd
1 1 6 1
direct
0.000 0.000 0.000 Np
0.333 0.667 0.500 Fe
0.037 0.518 0.226 H
0.037 0.518 0.774 H
0.482 0.518 0.226 H
0.482 0.518 0.774 H
0.482 0.963 0.226 H
0.482 0.963 0.774 H
0.667 0.333 0.500 Pd
```